No. 1
The following is a PBE calculation of crystalline Sm11Fe12C18 at its relaxed geometry, from Alexandria.

Unit cell a=8.9536 b=8.9536 c=8.9536 alpha=109.47 beta=109.47 gamma=109.47
Closest atoms and distances in Å follow each position.
Sites, in units of the cell vectors:
Sm1 0.0000 0.0000 0.0000  12 Fe 3.12
Sm2 0.0000 0.0000 0.5937  6 C 2.66-2.69
Sm3 0.0000 0.5937 0.0000  6 C 2.66-2.69
Sm4 0.2500 0.5000 0.7500  8 C 2.63-2.68
Sm5 0.2500 0.7500 0.5000  8 C 2.63-2.68
Sm6 0.4063 0.4063 0.4063  6 C 2.66-2.69
Sm7 0.5000 0.2500 0.7500  8 C 2.63-2.68
Sm8 0.5000 0.7500 0.2500  8 C 2.63-2.68
Sm9 0.5937 0.0000 0.0000  6 C 2.66-2.69
Sm10 0.7500 0.2500 0.5000  8 C 2.63-2.68
Sm11 0.7500 0.5000 0.2500  8 C 2.63-2.68
Fe1 0.0000 0.1990 0.3598  3 C 1.82-1.96
Fe2 0.0000 0.3598 0.1990  3 C 1.82-1.96
Fe3 0.1608 0.8010 0.8010  3 C 1.82-1.96
Fe4 0.1990 0.0000 0.3598  3 C 1.82-1.96
Fe5 0.1990 0.3598 0.0000  3 C 1.82-1.96
Fe6 0.3598 0.0000 0.1990  3 C 1.82-1.96
Fe7 0.3598 0.1990 0.0000  3 C 1.82-1.96
Fe8 0.6402 0.6402 0.8392  3 C 1.82-1.96
Fe9 0.6402 0.8392 0.6402  3 C 1.82-1.96
Fe10 0.8010 0.1608 0.8010  3 C 1.82-1.96
Fe11 0.8010 0.8010 0.1608  3 C 1.82-1.96
Fe12 0.8392 0.6402 0.6402  3 C 1.82-1.96
C1 0.0000 0.2951 0.7953  2 Fe 1.82
C2 0.0000 0.4312 0.4312  1 C 1.42
C3 0.0000 0.5688 0.5688  1 C 1.42
C4 0.0000 0.7953 0.2951  2 Fe 1.82
C5 0.2047 0.2047 0.4999  2 Fe 1.82
C6 0.2047 0.4999 0.2047  2 Fe 1.82
C7 0.2951 0.0000 0.7953  2 Fe 1.82
C8 0.2951 0.7953 0.0000  2 Fe 1.82
C9 0.4312 0.0000 0.4312  1 C 1.42
C10 0.4312 0.4312 0.0000  1 C 1.42
C11 0.4999 0.2047 0.2047  2 Fe 1.82
C12 0.5001 0.7049 0.7049  2 Fe 1.82
C13 0.5688 0.0000 0.5688  1 C 1.42
C14 0.5688 0.5688 0.0000  1 C 1.42
C15 0.7049 0.5001 0.7049  2 Fe 1.82
C16 0.7049 0.7049 0.5001  2 Fe 1.82
C17 0.7953 0.0000 0.2951  2 Fe 1.82
C18 0.7953 0.2951 0.0000  2 Fe 1.82

* symmetry: I-43m
* DFT total energy: -329.43 eV per formula unit

=====

No. 2
The following is a PBE calculation of crystalline KMnCr at its relaxed geometry, from Alexandria.

Unit cell a=6.8110 b=6.8110 c=6.8110 alpha=154.25 beta=148.26 gamma=41.31
Closest atoms and distances in Å follow each position.
Sites, in units of the cell vectors:
K1 0.0000 0.0000 0.0000  2 K 3.03
Mn1 0.7291 0.7291 0.0000  4 Cr 2.46
Cr1 0.2711 0.2711 0.0000  4 Mn 2.46

* relative energy among the computed polymorphs: 0.0 meV/atom
* symmetry: Imm2
* DFT total energy: -17.56 eV per formula unit

=====

No. 3
The following is a PBE calculation of crystalline Zn3AsOs at its relaxed geometry, from Alexandria.

Unit cell a=4.7933 b=4.7933 c=4.7933 alpha=90.00 beta=90.00 gamma=90.00
Closest atoms and distances in Å follow each position.
Sites, in units of the cell vectors:
Zn1 0.0000 0.0000 0.5000  2 Os 2.40
Zn2 0.0000 0.5000 0.0000  2 Os 2.40
Zn3 0.5000 0.0000 0.0000  2 Os 2.40
As1 0.5000 0.5000 0.5000  12 Zn 3.39
Os1 0.0000 0.0000 0.0000  6 Zn 2.40

* relative energy among the computed polymorphs: 0.0 meV/atom
* symmetry: Pm-3m
* DFT total energy: -15.10 eV per formula unit

=====

No. 4
The following is a PBE calculation of crystalline Ba2PaBeS6 at its relaxed geometry, from Alexandria.

Unit cell a=6.8895 b=6.8895 c=6.0376 alpha=90.00 beta=90.00 gamma=120.00
Closest atoms and distances in Å follow each position.
Sites, in units of the cell vectors:
Ba1 0.3333 0.6667 0.2118  9 S 3.28-3.45
Ba2 0.6667 0.3333 0.7882  9 S 3.28-3.45
Pa1 0.0000 0.0000 0.5000  6 S 2.61
Be1 0.0000 0.0000 0.0000  6 S 2.39
S1 0.1666 0.3332 0.7793  1 Be 2.39, 1 Pa 2.61
S2 0.1666 0.8334 0.7793  1 Be 2.39, 1 Pa 2.61
S3 0.3332 0.1666 0.2207  1 Be 2.39, 1 Pa 2.61
S4 0.6668 0.8334 0.7793  1 Be 2.39, 1 Pa 2.61
S5 0.8334 0.1666 0.2207  1 Be 2.39, 1 Pa 2.61
S6 0.8334 0.6668 0.2207  1 Be 2.39, 1 Pa 2.61

* symmetry: P-3m1
* DFT total energy: -56.45 eV per formula unit
* E_form (uncorrected): -1.46 eV/atom

=====

No. 5
The following is a PBE calculation of crystalline La4TmTl at its relaxed geometry, from Alexandria.

Unit cell a=4.2541 b=4.2541 c=11.2096 alpha=90.00 beta=90.00 gamma=90.00
Closest atoms and distances in Å follow each position.
Sites, in units of the cell vectors:
La1 0.0000 0.0000 0.1459  1 La 3.27, 4 Tl 3.42
La2 0.0000 0.0000 0.8541  1 La 3.27, 4 Tl 3.42
La3 0.5000 0.5000 0.3380  4 Tm 3.51, 5 La 3.63-3.70, 1 Tl 3.79
La4 0.5000 0.5000 0.6620  4 Tm 3.51, 5 La 3.63-3.70, 1 Tl 3.79
Tm1 0.0000 0.0000 0.5000  8 La 3.51
Tl1 0.5000 0.5000 0.0000  10 La 3.42-3.79

* symmetry: P4/mmm
* DFT total energy: -27.08 eV per formula unit

=====

No. 6
The following is a PBE calculation of crystalline CoRu at its relaxed geometry, from Alexandria.

Unit cell a=6.9943 b=4.7959 c=4.5466 alpha=90.00 beta=90.00 gamma=90.00
Closest atoms and distances in Å follow each position.
Sites, in units of the cell vectors:
Co1 0.0000 0.1981 0.0000  6 Ru 2.47-2.63, 6 Co 2.60-2.69
Co2 0.1717 0.0654 0.5113  5 Co 2.40-2.62, 5 Ru 2.48-2.65
Co3 0.3283 0.9346 0.0113  5 Co 2.40-2.62, 5 Ru 2.48-2.65
Co4 0.5000 0.8019 0.5000  6 Ru 2.47-2.63, 6 Co 2.60-2.69
Co5 0.6717 0.9346 0.0113  5 Co 2.40-2.62, 5 Ru 2.48-2.65
Co6 0.8283 0.0654 0.5113  5 Co 2.40-2.62, 5 Ru 2.48-2.65
Ru1 0.0000 0.7134 0.1842  6 Co 2.47-2.65, 6 Ru 2.62-2.70
Ru2 0.1815 0.5751 0.6872  5 Co 2.48-2.63, 6 Ru 2.54-2.70
Ru3 0.3185 0.4249 0.1872  5 Co 2.48-2.63, 6 Ru 2.54-2.70
Ru4 0.5000 0.2866 0.6842  6 Co 2.47-2.65, 6 Ru 2.62-2.70
Ru5 0.6815 0.4249 0.1872  5 Co 2.48-2.63, 6 Ru 2.54-2.70
Ru6 0.8185 0.5751 0.6872  5 Co 2.48-2.63, 6 Ru 2.54-2.70

* symmetry: Pmn2_1
* DFT total energy: -15.89 eV per formula unit

=====

No. 7
The following is a PBE calculation of crystalline PdC at its relaxed geometry, from Alexandria.

Unit cell a=7.6663 b=6.6928 c=4.8280 alpha=81.70 beta=59.75 gamma=38.55
Closest atoms and distances in Å follow each position.
Sites, in units of the cell vectors:
Pd1 0.0520 0.0520 0.6980  2 C 2.06
Pd2 0.3020 0.3020 0.9480  2 C 2.06
Pd3 0.6980 0.6980 0.0520  2 C 2.06
Pd4 0.9480 0.9480 0.3020  2 C 2.06
C1 0.0479 0.2021 0.0479  1 C 1.33
C2 0.2021 0.0479 0.2021  1 C 1.33
C3 0.7979 0.9521 0.7979  1 C 1.33
C4 0.9521 0.7979 0.9521  1 C 1.33

* relative energy among the computed polymorphs: 0.0 meV/atom
* symmetry: Fddd
* DFT total energy: -12.77 eV per formula unit

=====

No. 8
The following is a PBE calculation of crystalline AlSe3 at its relaxed geometry, from Alexandria.

Unit cell a=3.5259 b=3.7235 c=7.8598 alpha=90.00 beta=90.00 gamma=90.00
Closest atoms and distances in Å follow each position.
Sites, in units of the cell vectors:
Al1 0.0000 0.0000 0.0000  6 Se 2.68-2.93
Se1 0.0000 0.5000 0.6226  4 Se 2.64
Se2 0.5000 0.0000 0.7021  4 Se 2.64, 2 Al 2.93
Se3 0.5000 0.5000 0.1003  4 Al 2.68

* relative energy among the computed polymorphs: 184.7 meV/atom
* symmetry: Pmm2
* DFT total energy: -14.59 eV per formula unit
* E_form (uncorrected): -0.10 eV/atom

=====

No. 9
The following is a PBE calculation of crystalline BeSb3Te at its relaxed geometry, from Alexandria.

Unit cell a=4.9908 b=4.9908 c=4.9908 alpha=90.00 beta=90.00 gamma=90.00
Closest atoms and distances in Å follow each position.
Sites, in units of the cell vectors:
Be1 0.0000 0.0000 0.0000  6 Sb 2.50
Sb1 0.0000 0.0000 0.5000  2 Be 2.50
Sb2 0.0000 0.5000 0.0000  2 Be 2.50
Sb3 0.5000 0.0000 0.0000  2 Be 2.50
Te1 0.5000 0.5000 0.5000  12 Sb 3.53

* relative energy among the computed polymorphs: 0.0 meV/atom
* symmetry: Pm-3m
* DFT total energy: -17.10 eV per formula unit
* E_form (uncorrected): 0.43 eV/atom

=====

No. 10
The following is a PBE calculation of crystalline Sc2Te2Pb at its relaxed geometry, from Alexandria.

Unit cell a=8.4530 b=8.4530 c=3.6791 alpha=90.00 beta=90.00 gamma=90.00
Closest atoms and distances in Å follow each position.
Sites, in units of the cell vectors:
Sc1 0.1456 0.3544 0.0000  6 Te 3.07-3.11
Sc2 0.3544 0.8544 0.0000  6 Te 3.07-3.11
Sc3 0.6456 0.1456 0.0000  6 Te 3.07-3.11
Sc4 0.8544 0.6456 0.0000  6 Te 3.07-3.11
Te1 0.1445 0.6445 0.5000  6 Sc 3.07-3.11, 2 Pb 3.24
Te2 0.3555 0.1445 0.5000  6 Sc 3.07-3.11, 2 Pb 3.24
Te3 0.6445 0.8555 0.5000  6 Sc 3.07-3.11, 2 Pb 3.24
Te4 0.8555 0.3555 0.5000  6 Sc 3.07-3.11, 2 Pb 3.24
Pb1 0.0000 0.0000 0.5000  4 Te 3.24
Pb2 0.5000 0.5000 0.5000  4 Te 3.24

* relative energy among the computed polymorphs: 111.3 meV/atom
* symmetry: P4/mbm
* DFT total energy: -25.81 eV per formula unit
* E_form (uncorrected): -0.63 eV/atom

=====

No. 11
The following is a PBE calculation of crystalline Sc2ZnSi2Ir5 at its relaxed geometry, from Alexandria.

Unit cell a=9.4490 b=9.4490 c=3.4415 alpha=90.00 beta=90.00 gamma=90.00
Closest atoms and distances in Å follow each position.
Sites, in units of the cell vectors:
Sc1 0.1725 0.3275 0.0000  3 Si 2.66-2.87, 2 Ir 2.88
Sc2 0.3275 0.8275 0.0000  3 Si 2.66-2.87, 2 Ir 2.88
Sc3 0.6725 0.1725 0.0000  3 Si 2.66-2.87, 2 Ir 2.88
Sc4 0.8275 0.6725 0.0000  3 Si 2.66-2.87, 2 Ir 2.88
Zn1 0.0000 0.0000 0.0000  8 Ir 2.68
Zn2 0.5000 0.5000 0.0000  8 Ir 2.68
Si1 0.1284 0.6284 0.0000  6 Ir 2.39-2.43, 1 Sc 2.66
Si2 0.3716 0.1284 0.0000  6 Ir 2.39-2.43, 1 Sc 2.66
Si3 0.6284 0.8716 0.0000  6 Ir 2.39-2.43, 1 Sc 2.66
Si4 0.8716 0.3716 0.0000  6 Ir 2.39-2.43, 1 Sc 2.66
Ir1 0.0000 0.5000 0.5000  4 Si 2.43
Ir2 0.0691 0.7935 0.5000  2 Si 2.39
Ir3 0.2065 0.0691 0.5000  2 Si 2.39
Ir4 0.2935 0.5691 0.5000  2 Si 2.39
Ir5 0.4309 0.2935 0.5000  2 Si 2.39
Ir6 0.5000 0.0000 0.5000  4 Si 2.43
Ir7 0.5691 0.7065 0.5000  2 Si 2.39
Ir8 0.7065 0.4309 0.5000  2 Si 2.39
Ir9 0.7935 0.9309 0.5000  2 Si 2.39
Ir10 0.9309 0.2065 0.5000  2 Si 2.39

* symmetry: P4/mbm
* DFT total energy: -77.28 eV per formula unit
* E_form (uncorrected): -0.82 eV/atom

=====

No. 12
The following is a PBE calculation of crystalline SrSb3F at its relaxed geometry, from Alexandria.

Unit cell a=5.0712 b=5.0712 c=5.0712 alpha=90.00 beta=90.00 gamma=90.00
Closest atoms and distances in Å follow each position.
Sites, in units of the cell vectors:
Sr1 0.0000 0.0000 0.0000  12 Sb 3.59
Sb1 0.0000 0.5000 0.5000  2 F 2.54
Sb2 0.5000 0.0000 0.5000  2 F 2.54
Sb3 0.5000 0.5000 0.0000  2 F 2.54
F1 0.5000 0.5000 0.5000  6 Sb 2.54

* relative energy among the computed polymorphs: 0.0 meV/atom
* symmetry: Pm-3m
* DFT total energy: -19.31 eV per formula unit
* E_form (uncorrected): -0.68 eV/atom